! NiB3Mo4 (GGA-PBE, optimized geometry); values from VASP
&SYSTEM
  ibrav = 0, nat = 16, ntyp = 3
/
ATOMIC_SPECIES
Ni 58.69 Ni.upf
B 10.81 B.upf
Mo 95.94 Mo.upf
CELL_PARAMETERS angstrom
3.111 0.000 0.000
-1.556 2.694 0.000
0.000 0.000 22.996
ATOMIC_POSITIONS angstrom
Ni 0.000 1.796 5.749
Ni 1.556 0.898 17.247
B 0.000 0.000 0.000
B 0.000 0.000 11.498
B 0.000 1.796 14.136
B 0.000 1.796 20.358
B 1.556 0.898 2.638
B 1.556 0.898 8.860
Mo 0.000 0.000 3.808
Mo 0.000 0.000 7.690
Mo 0.000 0.000 15.306
Mo 0.000 0.000 19.188
Mo 0.000 1.796 1.336
Mo 0.000 1.796 10.162
Mo 1.556 0.898 12.834
Mo 1.556 0.898 21.660
! Space group: No. 194
! Uncorrected energy in eV for the cell shown: -139.87